A plane-wave DFT calculation with PBE+U was carried out for an optimized crystal structure of MnSe2F2.

Properties
* magnetic moment: 5.2 μB/f.u.
* energy relative to the lowest polymorph listed for this composition: 0.00 eV per formula unit

a b c (Å): 3.4601 3.4601 18.0436
angles (deg): 90.00 90.00 90.00
With the nearest neighbours (Å) after each atom.
Space group I4/mmm (No. 139)
One atom of each set of equivalent atoms:
Mn 0.0000 0.0000 0.0000 [2 per cell]  8 F 2.71
Se 0.0000 0.5000 0.2500 [4 per cell]  4 Se 2.45
F 0.0000 0.0000 0.4349 [4 per cell]  1 F 2.35